## TbYPdAu (GGA-PBE)

Data for a relaxed TbYPdAu crystal.

Summary:
- ρ (g/cm³) = 10.08
- calculated formation energy (meV per atom) = -854
- space group = F-43m (216)
- E above lowest polymorph (eV/atom) = 0.047
- total magnetic moment (μB per cell) = 0.00

a b c (Å): 5.045 5.045 5.045
angles (deg): 60.00 60.00 60.00
Positions (direct):
Tb 0.000 0.000 0.000
Y 0.500 0.500 0.500
Pd 0.750 0.750 0.750
Au 0.250 0.250 0.250